Entry 1:
! UTl3I6Cl2 | Alexandria via LeMat-Bulk | PBE | optimized geometry; values from VASP
! Uncorrected formation energy in eV per atom: -0.7933
! Magnetization in μB/f.u.: 0.97
! Space group: C2/m (12)
&SYSTEM
  ibrav = 0, nat = 12, ntyp = 4
/
ATOMIC_SPECIES
I 126.90 I.upf
Cl 35.45 Cl.upf
Tl 204.38 Tl.upf
U 238.03 U.upf
CELL_PARAMETERS angstrom
-2.4661 5.5435 -4.2548
-7.7233 -4.6752 -1.6147
1.0156 4.2030 9.0194
ATOMIC_POSITIONS crystal
I 0.7333 0.8682 0.1906
I 0.2667 0.6776 0.8094
Cl 0.7331 0.3389 0.6777
Cl 0.2669 0.6611 0.3223
Tl 0.5000 0.0000 0.5000
I 0.2667 0.1318 0.8094
Tl 0.0000 0.5000 0.0000
I 0.7464 0.8949 0.7898
I 0.7333 0.3224 0.1906
U 0.5000 0.0000 0.0000
I 0.2536 0.1051 0.2102
Tl 0.5000 0.5000 0.5000

---

Entry 2:
! Tl2VI2Cl4 | Alexandria via LeMat-Bulk | PBE | optimized geometry; values from VASP
! Uncorrected formation energy in eV per atom: -0.8890
! Magnetization in μB/f.u.: 1.00
! Space group: I4/mmm (139)
&SYSTEM
  ibrav = 0, nat = 9, ntyp = 4
/
ATOMIC_SPECIES
V 50.94 V.upf
Cl 35.45 Cl.upf
I 126.90 I.upf
Tl 204.38 Tl.upf
CELL_PARAMETERS angstrom
7.4892 -0.2491 -0.3596
-3.8135 6.4504 0.3596
-3.8135 -1.9296 6.1655
ATOMIC_POSITIONS crystal
V 0.0000 0.0000 0.0000
Cl 0.4512 0.2256 0.2256
Cl 0.5488 0.7744 0.7744
Cl 0.0000 0.7744 0.2256
I 0.0000 0.2521 0.2521
Cl 0.0000 0.2256 0.7744
Tl 0.5000 0.2500 0.7500
Tl 0.5000 0.7500 0.2500
I 0.0000 0.7479 0.7479

---

Entry 3:
! Tl2VI4Cl2 | Alexandria via LeMat-Bulk | PBE | optimized geometry; values from VASP
! Uncorrected formation energy in eV per atom: -0.6806
! Magnetization in μB/f.u.: 1.00
! Space group: C2/m (12)
&SYSTEM
  ibrav = 0, nat = 9, ntyp = 4
/
ATOMIC_SPECIES
Tl 204.38 Tl.upf
I 126.90 I.upf
Cl 35.45 Cl.upf
V 50.94 V.upf
CELL_PARAMETERS angstrom
-3.3564 5.0065 -2.1650
-1.9504 1.2588 7.0473
4.7786 4.3164 3.6860
ATOMIC_POSITIONS crystal
Tl 0.2955 0.6418 0.6418
I 0.2744 0.6413 0.1291
Tl 0.7045 0.3582 0.3582
I 0.7256 0.8709 0.3587
Cl 0.7368 0.8766 0.8766
I 0.7256 0.3587 0.8709
Cl 0.2632 0.1234 0.1234
V 0.5000 0.0000 0.0000
I 0.2744 0.1291 0.6413

---

Entry 4:
! Tl2WI4Cl2 | Alexandria via LeMat-Bulk | PBE | optimized geometry; values from VASP
! Uncorrected formation energy in eV per atom: -0.4989
! Magnetization in μB/f.u.: 2.00
! Space group: C2/m (12)
&SYSTEM
  ibrav = 0, nat = 9, ntyp = 4
/
ATOMIC_SPECIES
Tl 204.38 Tl.upf
I 126.90 I.upf
Cl 35.45 Cl.upf
W 183.84 W.upf
CELL_PARAMETERS angstrom
6.6173 -0.9745 -0.6630
0.2991 7.4933 0.1385
0.2991 2.8802 6.9191
ATOMIC_POSITIONS crystal
Tl 0.3518 0.6524 0.6524
Tl 0.6482 0.3476 0.3476
I 0.2579 0.1334 0.6534
Cl 0.7018 0.8600 0.8600
W 0.5000 0.0000 0.0000
Cl 0.2982 0.1400 0.1400
I 0.2579 0.6534 0.1334
I 0.7421 0.3466 0.8666
I 0.7421 0.8666 0.3466

---

Entry 5:
! TlZnI2Cl | Alexandria via LeMat-Bulk | PBE | optimized geometry; values from VASP
! Uncorrected formation energy in eV per atom: -0.6285
! Magnetization in μB/f.u.: 0.00
! Space group: P4/mmm (123)
&SYSTEM
  ibrav = 0, nat = 5, ntyp = 4
/
ATOMIC_SPECIES
I 126.90 I.upf
Zn 65.41 Zn.upf
Cl 35.45 Cl.upf
Tl 204.38 Tl.upf
CELL_PARAMETERS angstrom
-3.0166 3.6652 -3.2865
0.4268 -3.6452 -4.4570
-4.1151 -2.1578 1.3707
ATOMIC_POSITIONS crystal
I 0.0000 0.5000 0.0000
Zn 0.0000 0.0000 0.0000
Cl 0.0000 0.0000 0.5000
Tl 0.5000 0.5000 0.5000
I 0.5000 0.0000 0.0000

---

Entry 6:
! ZrTl3I2Cl6 | Alexandria via LeMat-Bulk | PBE | optimized geometry; values from VASP
! Uncorrected formation energy in eV per atom: -1.1563
! Magnetization in μB/f.u.: 0.00
! Space group: C2/m (12)
&SYSTEM
  ibrav = 0, nat = 12, ntyp = 4
/
ATOMIC_SPECIES
I 126.90 I.upf
Zr 91.22 Zr.upf
Cl 35.45 Cl.upf
Tl 204.38 Tl.upf
CELL_PARAMETERS angstrom
6.5972 0.0000 0.5853
0.0000 8.5009 0.0000
-0.1886 -4.2505 7.9505
ATOMIC_POSITIONS crystal
I 0.8349 0.3262 0.6524
Zr 0.5000 0.0000 0.0000
Cl 0.2798 0.1331 0.2663
Tl 0.0000 0.5000 0.0000
Tl 0.5000 0.5000 0.5000
Cl 0.7132 0.8534 0.1239
Cl 0.2868 0.7295 0.8761
Cl 0.7202 0.8669 0.7337
Cl 0.7132 0.2705 0.1239
Tl 0.5000 0.0000 0.5000
I 0.1651 0.6738 0.3476
Cl 0.2868 0.1466 0.8761

---

Entry 7:
! ZrTl2I4Cl2 | Alexandria via LeMat-Bulk | PBE | optimized geometry; values from VASP
! Uncorrected formation energy in eV per atom: -1.0309
! Magnetization in μB/f.u.: 0.00
! Space group: C2/m (12)
&SYSTEM
  ibrav = 0, nat = 9, ntyp = 4
/
ATOMIC_SPECIES
I 126.90 I.upf
Cl 35.45 Cl.upf
Zr 91.22 Zr.upf
Tl 204.38 Tl.upf
CELL_PARAMETERS angstrom
7.9545 1.2926 0.8794
3.1199 7.3116 0.0041
3.1199 2.6885 6.7994
ATOMIC_POSITIONS crystal
I 0.7019 0.2926 0.7949
Cl 0.1949 0.2234 0.2234
Zr 0.5000 0.0000 0.0000
Tl 0.7536 0.2371 0.2371
Cl 0.8051 0.7766 0.7766
I 0.7019 0.7949 0.2926
Tl 0.2464 0.7629 0.7629
I 0.2981 0.2051 0.7074
I 0.2981 0.7074 0.2051

---

Entry 8:
! ZrTl2I5Cl | Alexandria via LeMat-Bulk | PBE | optimized geometry; values from VASP
! Uncorrected formation energy in eV per atom: -0.9004
! Magnetization in μB/f.u.: 0.00
! Space group: I4mm (107)
&SYSTEM
  ibrav = 0, nat = 9, ntyp = 4
/
ATOMIC_SPECIES
I 126.90 I.upf
Cl 35.45 Cl.upf
Tl 204.38 Tl.upf
Zr 91.22 Zr.upf
CELL_PARAMETERS angstrom
8.2946 -0.1330 -0.1930
-4.0555 7.2368 0.1930
-4.0555 -2.3966 6.8311
ATOMIC_POSITIONS crystal
I 0.5038 0.7681 0.7681
Cl 0.0000 0.8048 0.8048
Tl 0.5000 0.1826 0.6826
Tl 0.5000 0.6826 0.1826
I 0.0000 0.2643 0.7681
I 0.4962 0.2643 0.2643
Zr 0.0000 0.0106 0.0106
I 0.0000 0.7681 0.2643
I 0.0000 0.2548 0.2548